#P
Material: PrHfGa
Method: DFT, PBE
State: relaxed

Lattice parameters (Å, degrees): 4.966 4.966 4.966 60.00 60.00 60.00
Fractional coordinates of all 3 atoms:
Ga 0.250 0.250 0.250
Pr 0.000 0.000 0.000
Hf 0.750 0.750 0.750

#Q
Material: PrHfGa
Method: DFT, PBE
State: relaxed

Lattice parameters (Å, degrees): 4.837 4.837 4.837 60.00 60.00 60.00
Fractional coordinates of all 3 atoms:
Pr 0.750 0.750 0.750
Hf 0.250 0.250 0.250
Ga 0.000 0.000 0.000

Stability, lowest: #P

#P
Material: Hf2Ga2Pt
Method: DFT, PBE
State: relaxed

Lattice parameters (Å, degrees): 7.247 7.247 7.247 150.81 150.81 41.75
Fractional coordinates of all 5 atoms:
Hf 0.598 0.598 0.000
Hf 0.402 0.402 0.000
Pt 0.000 0.000 0.000
Ga 0.250 0.750 0.500
Ga 0.750 0.250 0.500

#Q
Material: Hf2Ga2Pt
Method: DFT, PBE
State: relaxed

Lattice parameters (Å, degrees): 6.578 6.578 6.578 143.89 143.89 52.00
Fractional coordinates of all 5 atoms:
Ga 0.405 0.405 0.000
Ga 0.595 0.595 0.000
Hf 0.250 0.750 0.500
Hf 0.750 0.250 0.500
Pt 0.000 0.000 0.000

Stability, lowest: #Q

#P
Material: SmHfGa
Method: DFT, PBE
State: relaxed

Lattice parameters (Å, degrees): 4.925 4.925 4.925 60.00 60.00 60.00
Fractional coordinates of all 3 atoms:
Hf 0.750 0.750 0.750
Ga 0.250 0.250 0.250
Sm 0.000 0.000 0.000

#Q
Material: SmHfGa
Method: DFT, PBE
State: relaxed

Lattice parameters (Å, degrees): 4.780 4.780 4.780 60.00 60.00 60.00
Fractional coordinates of all 3 atoms:
Sm 0.750 0.750 0.750
Hf 0.250 0.250 0.250
Ga 0.000 0.000 0.000

Stability, lowest: #P

#P
Material: HfGa2Tc2
Method: DFT, PBE
State: relaxed

Lattice parameters (Å, degrees): 5.874 5.874 5.874 138.35 138.35 60.37
Fractional coordinates of all 5 atoms:
Ga 0.750 0.250 0.500
Ga 0.250 0.750 0.500
Tc 0.611 0.611 0.000
Tc 0.389 0.389 0.000
Hf 0.000 0.000 0.000

#Q
Material: HfGa2Tc2
Method: DFT, PBE
State: relaxed

Lattice parameters (Å, degrees): 7.029 7.029 3.197 90.00 90.00 90.00
Fractional coordinates of all 10 atoms:
Hf 0.000 0.000 0.000
Hf 0.500 0.500 0.000
Ga 0.872 0.628 0.000
Ga 0.628 0.128 0.000
Ga 0.128 0.372 0.000
Ga 0.372 0.872 0.000
Tc 0.169 0.669 0.500
Tc 0.831 0.331 0.500
Tc 0.331 0.169 0.500
Tc 0.669 0.831 0.500

#R
Material: HfGa2Tc2
Method: DFT, PBE
State: relaxed

Lattice parameters (Å, degrees): 6.208 6.208 6.208 143.64 143.64 52.36
Fractional coordinates of all 5 atoms:
Ga 0.604 0.604 0.000
Ga 0.396 0.396 0.000
Tc 0.750 0.250 0.500
Tc 0.250 0.750 0.500
Hf 0.000 0.000 0.000

Stability, lowest: #P